# 1
A plane-wave DFT calculation with SCAN was carried out for a crystal of Li4Mn2TeWO12 relaxed with PBEsol.

Unit cell a=4.992 b=5.229 c=7.229 alpha=86.34 beta=89.94 gamma=89.99
Sites, in units of the cell vectors:
Li  0.000  0.000  0.000
Li  0.007  0.002  0.493
Li  0.495  0.493  0.999
Li  0.503  0.498  0.494
Mn  0.002  0.567  0.282
Mn  0.500  0.070  0.781
Te  0.000  0.570  0.782
W  0.502  0.066  0.281
O  0.132  0.593  0.531
O  0.186  0.887  0.233
O  0.200  0.268  0.861
O  0.308  0.775  0.857
O  0.309  0.390  0.234
O  0.389  0.083  0.539
O  0.616  0.085  0.033
O  0.675  0.394  0.726
O  0.700  0.768  0.346
O  0.809  0.274  0.344
O  0.819  0.898  0.726
O  0.872  0.590  0.037

Results
For the formation energy (no corrections), the calculation gives -40.8 eV per formula unit. As for the total moment: 6.0 μB per cell. Its total energy is -13.43 eV/atom.

***

# 2
A plane-wave DFT calculation with SCAN was carried out for a crystal of Be2SbS relaxed with PBEsol.

Unit cell a=6.206 b=6.206 c=6.206 alpha=90.00 beta=90.00 gamma=90.00
Sites, in units of the cell vectors:
Be  0.250  0.250  0.250
Be  0.250  0.250  0.750
Be  0.250  0.750  0.250
Be  0.250  0.750  0.750
Be  0.750  0.250  0.250
Be  0.750  0.250  0.750
Be  0.750  0.750  0.250
Be  0.750  0.750  0.750
Sb  0.000  0.000  0.000
Sb  0.000  0.500  0.500
Sb  0.500  0.000  0.500
Sb  0.500  0.500  0.000
S  0.000  0.000  0.500
S  0.000  0.500  0.000
S  0.500  0.000  0.000
S  0.500  0.500  0.500

Results
For the formation energy (no corrections), the calculation gives 3.0 eV per formula unit. As for the total moment: 0.0 μB per cell. Its total energy is -13.14 eV/atom.

***

# 3
A plane-wave DFT calculation with SCAN was carried out for a crystal of CoNiGeAs2 relaxed with PBEsol.

Unit cell a=4.298 b=4.298 c=4.644 alpha=90.00 beta=90.00 gamma=90.00
Sites, in units of the cell vectors:
Co  0.000  0.000  0.000
Ni  0.000  0.000  0.500
Ge  0.500  0.500  0.500
As  0.000  0.500  0.000
As  0.500  0.000  0.000

Results
The energy relative to the elements comes out at 645 meV/atom. As for the total moment: 0.0 μB per cell. Its total energy is -17.94 eV/atom.

***

# 4
A plane-wave DFT calculation with SCAN was carried out for a crystal of BaNi2I2 relaxed with PBEsol.

Unit cell a=5.002 b=5.002 c=9.540 alpha=90.00 beta=90.00 gamma=90.00
Sites, in units of the cell vectors:
Ba  0.000  0.000  0.000
Ba  0.500  0.500  0.500
Ni  0.000  0.000  0.373
Ni  0.000  0.000  0.627
Ni  0.500  0.500  0.127
Ni  0.500  0.500  0.873
I  0.000  0.500  0.250
I  0.000  0.500  0.750
I  0.500  0.000  0.250
I  0.500  0.000  0.750

Results
For the formation energy (no corrections), the calculation gives -0.8 eV per formula unit. As for the total moment: 4.0 μB per cell. Its total energy is -29.25 eV/atom.

***

# 5
A plane-wave DFT calculation with SCAN was carried out for a crystal of CsRb2Ag relaxed with PBEsol.

Unit cell a=11.937 b=11.937 c=7.449 alpha=90.00 beta=90.00 gamma=90.00
Sites, in units of the cell vectors:
Cs  0.000  0.000  0.000
Cs  0.000  0.500  0.250
Cs  0.500  0.000  0.750
Cs  0.500  0.500  0.500
Rb  0.136  0.750  0.625
Rb  0.250  0.136  0.375
Rb  0.250  0.364  0.875
Rb  0.364  0.750  0.125
Rb  0.636  0.250  0.125
Rb  0.750  0.636  0.875
Rb  0.750  0.864  0.375
Rb  0.864  0.250  0.625
Ag  0.000  0.000  0.500
Ag  0.000  0.500  0.750
Ag  0.500  0.000  0.250
Ag  0.500  0.500  0.000

Results
The energy relative to the elements comes out at 110 meV/atom. As for the total moment: 0.0 μB per cell. Its total energy is -27.55 eV/atom.

***

# 6
A plane-wave DFT calculation with SCAN was carried out for a crystal of CaScTe2 relaxed with PBEsol.

Unit cell a=4.220 b=4.220 c=21.237 alpha=90.00 beta=90.00 gamma=120.00
Sites, in units of the cell vectors:
Ca  0.000  0.000  0.000
Ca  0.333  0.667  0.667
Ca  0.667  0.333  0.333
Sc  0.000  0.000  0.500
Sc  0.333  0.667  0.167
Sc  0.667  0.333  0.833
Te  0.000  0.000  0.244
Te  0.000  0.000  0.756
Te  0.333  0.667  0.423
Te  0.333  0.667  0.911
Te  0.667  0.333  0.089
Te  0.667  0.333  0.577

Results
For the formation energy (no corrections), the calculation gives -5.9 eV per formula unit. As for the total moment: 0.0 μB per cell. Its total energy is -26.08 eV/atom.

***

# 7
A plane-wave DFT calculation with SCAN was carried out for a crystal of SrSi2Au relaxed with PBEsol.

Unit cell a=4.744 b=4.744 c=17.292 alpha=90.00 beta=90.00 gamma=90.00
Sites, in units of the cell vectors:
Sr  0.000  0.250  0.375
Sr  0.000  0.750  0.625
Sr  0.500  0.250  0.125
Sr  0.500  0.750  0.875
Si  0.000  0.000  0.000
Si  0.000  0.500  0.000
Si  0.250  0.250  0.750
Si  0.250  0.750  0.250
Si  0.500  0.000  0.500
Si  0.500  0.500  0.500
Si  0.750  0.250  0.750
Si  0.750  0.750  0.250
Au  0.000  0.250  0.875
Au  0.000  0.750  0.125
Au  0.500  0.250  0.625
Au  0.500  0.750  0.375

Results
For the formation energy (no corrections), the calculation gives -1.4 eV per formula unit. As for the total moment: 0.0 μB per cell. Its total energy is -28.21 eV/atom.

***

# 8
A plane-wave DFT calculation with SCAN was carried out for a crystal of ScNbGa2 relaxed with PBEsol.

Unit cell a=6.475 b=6.475 c=6.475 alpha=90.00 beta=90.00 gamma=90.00
Sites, in units of the cell vectors:
Sc  0.000  0.000  0.000
Sc  0.000  0.500  0.500
Sc  0.500  0.000  0.500
Sc  0.500  0.500  0.000
Nb  0.000  0.000  0.500
Nb  0.000  0.500  0.000
Nb  0.500  0.000  0.000
Nb  0.500  0.500  0.500
Ga  0.250  0.250  0.250
Ga  0.250  0.250  0.750
Ga  0.250  0.750  0.250
Ga  0.250  0.750  0.750
Ga  0.750  0.250  0.250
Ga  0.750  0.250  0.750
Ga  0.750  0.750  0.250
Ga  0.750  0.750  0.750

Results
The energy relative to the elements comes out at -370 meV/atom. As for the total moment: 5.8 μB per cell. Its total energy is -20.39 eV/atom.

***

# 9
A plane-wave DFT calculation with SCAN was carried out for a crystal of MnBi2TeC relaxed with PBEsol.

Unit cell a=4.996 b=4.996 c=4.559 alpha=90.00 beta=90.00 gamma=90.00
Sites, in units of the cell vectors:
Mn  0.000  0.000  0.000
Bi  0.000  0.500  0.500
Bi  0.500  0.000  0.500
Te  0.500  0.500  0.000
C  0.500  0.500  0.500

Results
For the formation energy (no corrections), the calculation gives 5.6 eV per formula unit. As for the total moment: 4.3 μB per cell. Its total energy is -43.44 eV/atom.

***

# 10
A plane-wave DFT calculation with SCAN was carried out for a crystal of AlZnPt2 relaxed with PBEsol.

Unit cell a=9.368 b=2.862 c=4.411 alpha=90.00 beta=106.25 gamma=90.00
Sites, in units of the cell vectors:
Al  0.000  0.000  0.000
Al  0.500  0.500  0.000
Zn  0.247  0.500  0.379
Zn  0.747  0.000  0.379
Pt  0.261  0.000  0.888
Pt  0.491  0.000  0.495
Pt  0.761  0.500  0.888
Pt  0.991  0.500  0.495

Results
The energy relative to the elements comes out at -861 meV/atom. As for the total moment: 0.0 μB per cell. Its total energy is -41.27 eV/atom.

***

# 11
A plane-wave DFT calculation with SCAN was carried out for a crystal of TcHg2Pt relaxed with PBEsol.

Unit cell a=2.889 b=2.889 c=28.767 alpha=90.00 beta=90.00 gamma=120.00
Sites, in units of the cell vectors:
Tc  0.000  0.000  0.000
Tc  0.333  0.667  0.667
Tc  0.667  0.333  0.333
Hg  0.000  0.000  0.512
Hg  0.000  0.000  0.750
Hg  0.333  0.667  0.179
Hg  0.333  0.667  0.417
Hg  0.667  0.333  0.083
Hg  0.667  0.333  0.845
Pt  0.000  0.000  0.263
Pt  0.333  0.667  0.930
Pt  0.667  0.333  0.596

Results
The energy relative to the elements comes out at 300 meV/atom. As for the total moment: 0.0 μB per cell. Its total energy is -60.10 eV/atom.

***

# 12
A plane-wave DFT calculation with SCAN was carried out for a crystal of Ca2VN3 relaxed with PBEsol.

Unit cell a=5.864 b=5.864 c=11.513 alpha=91.04 beta=91.04 gamma=123.59
Sites, in units of the cell vectors:
Ca  0.037  0.444  0.852
Ca  0.115  0.340  0.423
Ca  0.340  0.115  0.923
Ca  0.444  0.037  0.352
Ca  0.556  0.963  0.648
Ca  0.660  0.885  0.077
Ca  0.885  0.660  0.577
Ca  0.963  0.556  0.148
V  0.267  0.268  0.162
V  0.268  0.267  0.662
V  0.732  0.733  0.338
V  0.733  0.732  0.838
N  0.006  0.994  0.750
N  0.122  0.308  0.037
N  0.161  0.488  0.629
N  0.308  0.122  0.537
N  0.409  0.591  0.250
N  0.488  0.161  0.129
N  0.512  0.839  0.871
N  0.591  0.409  0.750
N  0.692  0.878  0.463
N  0.839  0.512  0.371
N  0.878  0.692  0.963
N  0.994  0.006  0.250

Results
For the formation energy (no corrections), the calculation gives -8.6 eV per formula unit. As for the total moment: 0.0 μB per cell. Its total energy is -12.22 eV/atom.

***

# 13
A plane-wave DFT calculation with SCAN was carried out for a crystal of ReTcPb2 relaxed with PBEsol.

Unit cell a=3.244 b=5.311 c=8.879 alpha=90.00 beta=90.00 gamma=90.00
Sites, in units of the cell vectors:
Re  0.000  0.000  0.000
Re  0.500  0.500  0.500
Tc  0.000  0.000  0.500
Tc  0.500  0.500  0.000
Pb  0.000  0.500  0.248
Pb  0.000  0.500  0.752
Pb  0.500  0.000  0.252
Pb  0.500  0.000  0.748

Results
The energy relative to the elements comes out at 1229 meV/atom. As for the total moment: 0.0 μB per cell. Its total energy is -63.20 eV/atom.